(1)
A relaxed Ac2ZrNi9 crystal. Source: Alexandria, functional PBE.

ΔE_f in meV per atom: -196
Calculated volume in Å³ per atom: 15.44

abc: 4.9711 4.9711 25.9712
angles: 90.00 90.00 120.00
Space group R-3m (No. 166, hexagonal axes)
Symmetry-distinct sites (fractional):
1 Ac 0.0000 0.0000 0.1337 (multiplicity 6)
2 Zr 0.0000 0.0000 0.0000 (multiplicity 3)
3 Ni 0.0000 0.0000 0.3330 (multiplicity 6)
4 Ni 0.0000 0.0000 0.5000 (multiplicity 3)
5 Ni 0.0011 0.5005 0.0754 (multiplicity 18)

(2)
A relaxed Er3In4Ag4 crystal. Source: Alexandria, functional PBE.

ΔE_f in meV per atom: -299
Calculated volume in Å³ per atom: 22.98

abc: 30.7200 3.4153 4.8813
angles: 90.00 99.12 90.00
Space group C2/m (No. 12)
Symmetry-distinct sites (fractional):
1 Er 0.0000 0.0000 0.0000 (multiplicity 2)
2 Er 0.1385 0.0000 0.6392 (multiplicity 4)
3 In 0.0922 0.5000 0.0924 (multiplicity 4)
4 In 0.2328 0.5000 0.7332 (multiplicity 4)
5 Ag 0.0457 0.5000 0.5460 (multiplicity 4)
6 Ag 0.1840 0.5000 0.1847 (multiplicity 4)

(3)
A relaxed SrCdRe crystal. Source: Alexandria, functional PBE.

ΔE to the lowest computed polymorph in eV/atom: 0.0259
ΔE_f in meV per atom: 833
Calculated volume in Å³ per atom: 22.31

abc: 5.1862 5.1862 2.8736
angles: 90.00 90.00 120.00
Space group P-6m2 (No. 187)
Symmetry-distinct sites (fractional):
1 Sr 0.0000 0.0000 0.0000 (multiplicity 1)
2 Cd 0.6667 0.3333 0.5000 (multiplicity 1)
3 Re 0.3333 0.6667 0.5000 (multiplicity 1)

(4)
A relaxed La8HIr3Cl3 crystal. Source: Alexandria, functional PBE.

Energy in eV per cell: -272.49
Calculated volume in Å³ per atom: 29.37

abc: 8.3463 8.3463 21.9099
angles: 90.00 90.00 120.00
Space group R-3m (No. 166, hexagonal axes)
Symmetry-distinct sites (fractional):
1 La 0.0000 0.0000 0.2375 (multiplicity 6)
2 La 0.0058 0.5029 0.7621 (multiplicity 18)
3 H 0.0000 0.0000 0.5000 (multiplicity 3)
4 Ir 0.0000 0.5000 0.5000 (multiplicity 9)
5 Cl 0.0000 0.5000 0.0000 (multiplicity 9)

(5)
A relaxed Cs2TiReF6 crystal. Source: Alexandria, functional PBE.

E_form (uncorrected) in eV per atom: -2.0446
Calculated volume in Å³ per atom: 16.37

abc: 6.1436 6.1436 8.6742
angles: 90.00 90.00 90.00
Space group I4/mmm (No. 139)
Symmetry-distinct sites (fractional):
1 Cs 0.0000 0.5000 0.2500 (multiplicity 4)
2 Ti 0.0000 0.0000 0.0000 (multiplicity 2)
3 Re 0.0000 0.0000 0.5000 (multiplicity 2)
4 F 0.0000 0.0000 0.2444 (multiplicity 4)
5 F 0.2445 0.2445 0.0000 (multiplicity 8)

(6)
A relaxed CaSmGdIn crystal. Source: Alexandria, functional PBE.

ΔE_f in meV per atom: -166
Calculated volume in Å³ per atom: 30.28

abc: 7.8537 7.8537 7.8537
angles: 90.00 90.00 90.00
Space group F-43m (No. 216)
Symmetry-distinct sites (fractional):
1 Ca 0.0000 0.0000 0.0000 (multiplicity 4)
2 Sm 0.2500 0.2500 0.2500 (multiplicity 4)
3 Gd 0.2500 0.2500 0.7500 (multiplicity 4)
4 In 0.0000 0.0000 0.5000 (multiplicity 4)

(7)
A relaxed Ba2Si3PbAu12 crystal. Source: Alexandria, functional PBE.

E_form (uncorrected) in eV per atom: -0.0942
Calculated volume in Å³ per atom: 26.24

abc: 8.9102 8.9102 20.6090
angles: 90.00 90.00 120.00
Space group R-3m (No. 166, hexagonal axes)
Symmetry-distinct sites (fractional):
1 Ba 0.0000 0.0000 0.1051 (multiplicity 6)
2 Si 0.0000 0.5000 0.0000 (multiplicity 9)
3 Pb 0.0000 0.0000 0.5000 (multiplicity 3)
4 Au 0.0151 0.5076 0.8806 (multiplicity 18)
5 Au 0.0363 0.5181 0.3365 (multiplicity 18)

(8)
A relaxed BaHfGa3 crystal. Source: Alexandria, functional PBE.

ΔE to the lowest computed polymorph in eV/atom: 0.0000
ΔE_f in meV per atom: -94
Calculated volume in Å³ per atom: 29.50

abc: 5.2835 5.2835 5.2835
angles: 90.00 90.00 90.00
Space group Pm-3m (No. 221)
Symmetry-distinct sites (fractional):
1 Ba 0.0000 0.0000 0.0000 (multiplicity 1)
2 Hf 0.5000 0.5000 0.5000 (multiplicity 1)
3 Ga 0.0000 0.5000 0.5000 (multiplicity 3)

(9)
A relaxed Ce5AgSe8 crystal. Source: Alexandria, functional PBE.

E_form (uncorrected) in eV per atom: -1.6277
Calculated volume in Å³ per atom: 25.10

abc: 8.8382 8.8382 8.9981
angles: 90.00 90.00 90.00
Space group I-4 (No. 82)
Symmetry-distinct sites (fractional):
1 Ce 0.0000 0.0000 0.0000 (multiplicity 2)
2 Ce 0.1294 0.7502 0.6169 (multiplicity 8)
3 Ag 0.0000 0.5000 0.2500 (multiplicity 2)
4 Se 0.0687 0.8205 0.2940 (multiplicity 8)
5 Se 0.0796 0.6809 0.9357 (multiplicity 8)

(10)
A relaxed BaAgPd2 crystal. Source: Alexandria, functional PBE.

ΔE to the lowest computed polymorph in eV/atom: 0.2509
ΔE_f in meV per atom: -113
Calculated volume in Å³ per atom: 22.69

abc: 7.1333 7.1333 7.1333
angles: 90.00 90.00 90.00
Space group Fm-3m (No. 225)
Symmetry-distinct sites (fractional):
1 Ba 0.0000 0.0000 0.0000 (multiplicity 4)
2 Ag 0.0000 0.0000 0.5000 (multiplicity 4)
3 Pd 0.2500 0.2500 0.2500 (multiplicity 8)

(11)
A relaxed MgMoAs crystal. Source: Alexandria, functional PBE.

ΔE to the lowest computed polymorph in eV/atom: 0.3408
ΔE_f in meV per atom: 153
Calculated volume in Å³ per atom: 18.17

abc: 3.4657 4.7943 13.1249
angles: 90.00 90.00 90.00
Space group Fmm2 (No. 42)
Symmetry-distinct sites (fractional):
1 Mg 0.0000 0.0000 0.0000 (multiplicity 4)
2 Mo 0.0000 0.0000 0.6691 (multiplicity 4)
3 As 0.0000 0.0000 0.3087 (multiplicity 4)

(12)
A relaxed AlNiIr2 crystal. Source: Alexandria, functional PBE.

ΔE_f in meV per atom: -384
Calculated volume in Å³ per atom: 13.59

abc: 8.5765 2.7576 4.7009
angles: 90.00 102.14 90.00
Space group C2/m (No. 12)
Symmetry-distinct sites (fractional):
1 Al 0.0000 0.0000 0.0000 (multiplicity 2)
2 Ni 0.0000 0.5000 0.5000 (multiplicity 2)
3 Ir 0.2440 0.5000 0.2539 (multiplicity 4)